# 1
Below is a relaxed ReBP crystal, with properties calculated at the PBE level.

a = 2.987 Å, b = 2.987 Å, c = 13.194 Å
α = 90.00°, β = 90.00°, γ = 120.00°
Element x y z (fractional)
Re1 0.000 0.000 0.000
Re2 0.333 0.667 0.667
Re3 0.667 0.333 0.333
B1 0.000 0.000 0.560
B2 0.333 0.667 0.227
B3 0.667 0.333 0.894
P1 0.000 0.000 0.808
P2 0.333 0.667 0.474
P3 0.667 0.333 0.141

Properties
**DOS at the Fermi energy**: 4.42 states/eV/cell
**Theoretical density**: 11.14 g cm⁻³
**Energy relative to the elements**: 0.12 eV/atom
**Total moment**: 0.00 μB/cell
**Crystal system**: trigonal
**Energy**: -8.0599 eV per atom
**E above lowest polymorph**: 67 meV/atom

# 2
Below is a relaxed ReB2P crystal, with properties calculated at the PBE level.

a = 4.820 Å, b = 4.820 Å, c = 8.810 Å
α = 90.00°, β = 90.00°, γ = 90.00°
Element x y z (fractional)
Re1 0.000 0.000 0.000
Re2 0.000 0.500 0.250
Re3 0.500 0.000 0.750
Re4 0.500 0.500 0.500
B1 0.226 0.250 0.625
B2 0.250 0.726 0.875
B3 0.250 0.774 0.375
B4 0.274 0.250 0.125
B5 0.726 0.750 0.125
B6 0.750 0.226 0.375
B7 0.750 0.274 0.875
B8 0.774 0.750 0.625
P1 0.000 0.000 0.500
P2 0.000 0.500 0.750
P3 0.500 0.000 0.250
P4 0.500 0.500 0.000

Properties
**DOS at the Fermi energy**: 4.98 states/eV/cell
**Theoretical density**: 7.75 g cm⁻³
**Energy relative to the elements**: 0.54 eV/atom
**Total moment**: 0.00 μB/cell
**Crystal system**: tetragonal
**Energy**: -7.2653 eV per atom

# 3
Below is a relaxed ReBP crystal, with properties calculated at the PBE level.

a = 3.068 Å, b = 3.067 Å, c = 4.531 Å
α = 90.00°, β = 109.90°, γ = 90.00°
Element x y z (fractional)
Re1 0.000 0.000 0.000
B1 0.440 0.500 0.882
P1 0.280 0.000 0.561

Properties
**DOS at the Fermi energy**: 1.15 states/eV/cell
**Theoretical density**: 9.45 g cm⁻³
**Energy relative to the elements**: 0.07 eV/atom
**Total moment**: 0.00 μB/cell
**Crystal system**: monoclinic
**Energy**: -8.1095 eV per atom
**E above lowest polymorph**: 17 meV/atom

# 4
Below is a relaxed ReBP crystal, with properties calculated at the PBE level.

a = 2.901 Å, b = 2.966 Å, c = 4.170 Å
α = 90.00°, β = 90.00°, γ = 90.00°
Element x y z (fractional)
Re1 0.000 0.000 0.000
B1 0.500 0.500 0.223
P1 0.000 0.500 0.544

Properties
**DOS at the Fermi energy**: 1.32 states/eV/cell
**Theoretical density**: 10.55 g cm⁻³
**Energy relative to the elements**: 0.05 eV/atom
**Total moment**: 0.00 μB/cell
**Crystal system**: orthorhombic
**Energy**: -8.1265 eV per atom
**E above lowest polymorph**: 0 meV/atom

# 5
Below is a relaxed ReBP crystal, with properties calculated at the PBE level.

a = 2.884 Å, b = 2.884 Å, c = 4.450 Å
α = 90.00°, β = 90.00°, γ = 90.00°
Element x y z (fractional)
Re1 0.000 0.000 0.000
B1 0.500 0.500 0.252
P1 0.500 0.500 0.683

Properties
**DOS at the Fermi energy**: 1.68 states/eV/cell
**Theoretical density**: 10.23 g cm⁻³
**Energy relative to the elements**: 0.08 eV/atom
**Total moment**: 0.00 μB/cell
**Crystal system**: tetragonal
**Energy**: -8.0947 eV per atom
**E above lowest polymorph**: 32 meV/atom

# 6
Below is a relaxed ReBP crystal, with properties calculated at the PBE level.

a = 3.013 Å, b = 3.013 Å, c = 14.759 Å
α = 90.00°, β = 90.00°, γ = 120.00°
Element x y z (fractional)
Re1 0.000 0.000 0.000
Re2 0.333 0.667 0.667
Re3 0.667 0.333 0.333
B1 0.000 0.000 0.430
B2 0.333 0.667 0.097
B3 0.667 0.333 0.764
P1 0.000 0.000 0.557
P2 0.333 0.667 0.224
P3 0.667 0.333 0.890

Properties
**DOS at the Fermi energy**: 1.63 states/eV/cell
**Theoretical density**: 9.79 g cm⁻³
**Energy relative to the elements**: 0.06 eV/atom
**Total moment**: 0.00 μB/cell
**Crystal system**: trigonal
**Energy**: -8.1140 eV per atom
**E above lowest polymorph**: 13 meV/atom

# 7
Below is a relaxed ReBP2S crystal, with properties calculated at the PBE level.

a = 4.615 Å, b = 4.615 Å, c = 4.692 Å
α = 90.00°, β = 90.00°, γ = 90.00°
Element x y z (fractional)
Re1 0.000 0.000 0.000
B1 0.500 0.500 0.500
P1 0.000 0.500 0.000
P2 0.500 0.000 0.000
S1 0.000 0.000 0.500

Properties
**E_form (uncorrected)**: 673 kJ/mol of formula units
**DOS at the Fermi energy**: 4.01 states/eV/cell
**Theoretical density**: 4.84 g cm⁻³
**Total moment**: 0.00 μB/cell
**Crystal system**: tetragonal
**Energy**: -5.4202 eV per atom
**E above lowest polymorph**: 312 meV/atom

# 8
Below is a relaxed ReBP2S crystal, with properties calculated at the PBE level.

a = 4.018 Å, b = 4.018 Å, c = 4.048 Å
α = 90.00°, β = 90.00°, γ = 90.00°
Element x y z (fractional)
Re1 0.000 0.000 0.000
B1 0.500 0.500 0.500
P1 0.000 0.500 0.500
P2 0.500 0.000 0.500
S1 0.500 0.500 0.000

Properties
**E_form (uncorrected)**: 522 kJ/mol of formula units
**DOS at the Fermi energy**: 3.32 states/eV/cell
**Theoretical density**: 7.39 g cm⁻³
**Total moment**: 1.09 μB/cell
**Crystal system**: tetragonal
**Energy**: -5.7318 eV per atom
**E above lowest polymorph**: 0 meV/atom

# 9
Below is a relaxed ReSi2BP crystal, with properties calculated at the PBE level.

a = 4.541 Å, b = 4.541 Å, c = 3.526 Å
α = 90.00°, β = 90.00°, γ = 90.00°
Element x y z (fractional)
Re1 0.000 0.000 0.000
Si1 0.000 0.500 0.500
Si2 0.500 0.000 0.500
B1 0.500 0.500 0.000
P1 0.500 0.500 0.500

Properties
**E_form (uncorrected)**: 642 kJ/mol of formula units
**DOS at the Fermi energy**: 4.80 states/eV/cell
**Theoretical density**: 6.49 g cm⁻³
**Total moment**: 0.00 μB/cell
**Crystal system**: tetragonal
**Energy**: -5.7448 eV per atom

# 10
Below is a relaxed Re2BTeP crystal, with properties calculated at the PBE level.

a = 4.637 Å, b = 4.637 Å, c = 3.664 Å
α = 90.00°, β = 90.00°, γ = 90.00°
Element x y z (fractional)
Re1 0.000 0.500 0.000
Re2 0.500 0.000 0.000
B1 0.000 0.000 0.500
Te1 0.500 0.500 0.500
P1 0.000 0.000 0.000

Properties
**E_form (uncorrected)**: 557 kJ/mol of formula units
**DOS at the Fermi energy**: 3.75 states/eV/cell
**Theoretical density**: 11.42 g cm⁻³
**Total moment**: 0.00 μB/cell
**Crystal system**: tetragonal
**Energy**: -6.8715 eV per atom

# 11
Below is a relaxed Ti2ReBP crystal, with properties calculated at the PBE level.

a = 4.789 Å, b = 4.789 Å, c = 3.989 Å
α = 90.00°, β = 90.00°, γ = 90.00°
Element x y z (fractional)
Ti1 0.000 0.500 0.000
Ti2 0.500 0.000 0.000
Re1 0.000 0.000 0.000
B1 0.000 0.000 0.500
P1 0.500 0.500 0.500

Properties
**DOS at the Fermi energy**: 5.06 states/eV/cell
**Theoretical density**: 5.88 g cm⁻³
**Energy relative to the elements**: 0.75 eV/atom
**Total moment**: 0.00 μB/cell
**Crystal system**: tetragonal
**Energy**: -7.3101 eV per atom

# 12
Below is a relaxed ReBPW2 crystal, with properties calculated at the PBE level.

a = 4.390 Å, b = 4.390 Å, c = 4.329 Å
α = 90.00°, β = 90.00°, γ = 90.00°
Element x y z (fractional)
Re1 0.000 0.000 0.000
B1 0.500 0.500 0.000
P1 0.000 0.000 0.500
W1 0.000 0.500 0.500
W2 0.500 0.000 0.500

Properties
**DOS at the Fermi energy**: 4.94 states/eV/cell
**Theoretical density**: 11.86 g cm⁻³
**Energy relative to the elements**: 1.75 eV/atom
**Total moment**: 0.00 μB/cell
**Crystal system**: tetragonal
**Energy**: -8.3355 eV per atom

Q: Which value of total moment does entry 1 give?
A: 0.00 μB/cell

Q: Among the records above, which one has the highest total moment?
A: number 8